Entry 1:
## Nb6BiSe8 (PBE-GGA)

Data for crystalline Nb6BiSe8 at its relaxed geometry.

Results
**Crystal system**: trigonal
**DOS at the Fermi energy**: 0.467 states/eV/atom
**Energy**: -6.880 eV per atom
**Formation energy without anion corrections**: -1064 kJ/mol of formula units

```
data_Nb6BiSe8
_chemical_formula_sum 'Nb6 Bi1 Se8'
_space_group_name_H-M_alt 'P -3'
_space_group_IT_number 147
_space_group_name_Hall '-P 3'
_cell_length_a 10.1270
_cell_length_b 10.1270
_cell_length_c 3.4795
_cell_angle_alpha 90.00
_cell_angle_beta 90.00
_cell_angle_gamma 120.00
loop_
_atom_site_label
_atom_site_fract_x
_atom_site_fract_y
_atom_site_fract_z
_atom_site_occupancy
Nb1 0.1074 0.4872 0.2486 1
Bi1 0.0000 0.0000 0.0000 1
Se1 0.0582 0.7220 0.2505 1
Se2 0.3333 0.6667 0.7494 1
```


Entry 2:
## CaGeAs2W (PBE-GGA)

Data for crystalline CaGeAs2W at its relaxed geometry.

Results
**Crystal system**: tetragonal
**DOS at the Fermi energy**: 0.992 states/eV/atom
**Energy**: -5.231 eV per atom

```
data_CaGeAs2W
_chemical_formula_sum 'Ca1 Ge1 As2 W1'
_space_group_name_H-M_alt 'P 4/m m m'
_space_group_IT_number 123
_space_group_name_Hall '-P 4 2'
_cell_length_a 4.838
_cell_length_b 4.838
_cell_length_c 5.773
_cell_angle_alpha 90.00
_cell_angle_beta 90.00
_cell_angle_gamma 90.00
loop_
_atom_site_label
_atom_site_fract_x
_atom_site_fract_y
_atom_site_fract_z
_atom_site_occupancy
Ca1 0.000 0.000 0.000 1
Ge1 0.500 0.500 0.000 1
As1 0.000 0.500 0.500 1
W1 0.000 0.000 0.500 1
```


Entry 3:
## Li4Au2Se (PBE-GGA)

Data for crystalline Li4Au2Se at its relaxed geometry.

Results
**Crystal system**: tetragonal
**Energy**: -3.077 eV per atom
**Formation energy without anion corrections**: -371 kJ/mol of formula units

```
data_Li4Au2Se
_chemical_formula_sum 'Li8 Au4 Se2'
_space_group_name_H-M_alt 'I 4/m m m'
_space_group_IT_number 139
_space_group_name_Hall '-I 4 2'
_cell_length_a 4.905
_cell_length_b 4.905
_cell_length_c 12.928
_cell_angle_alpha 90.00
_cell_angle_beta 90.00
_cell_angle_gamma 90.00
loop_
_atom_site_label
_atom_site_fract_x
_atom_site_fract_y
_atom_site_fract_z
_atom_site_occupancy
Li1 0.000 0.000 0.187 1
Li2 0.000 0.500 0.000 1
Au1 0.000 0.000 0.385 1
Se1 0.000 0.000 0.000 1
```


Entry 4:
## La3CdPd (PBE-GGA)

Data for crystalline La3CdPd at its relaxed geometry.

Results
**Crystal system**: cubic
**DOS at the Fermi energy**: 2.493 states/eV/atom
**Energy above the most stable polymorph in this dataset**: 258 meV/atom
**Energy**: -4.346 eV per atom

```
data_La3CdPd
_chemical_formula_sum 'La3 Cd1 Pd1'
_space_group_name_H-M_alt 'P m -3 m'
_space_group_IT_number 221
_space_group_name_Hall '-P 4 2 3'
_cell_length_a 5.671
_cell_length_b 5.671
_cell_length_c 5.671
_cell_angle_alpha 90.00
_cell_angle_beta 90.00
_cell_angle_gamma 90.00
loop_
_atom_site_label
_atom_site_fract_x
_atom_site_fract_y
_atom_site_fract_z
_atom_site_occupancy
La1 0.000 0.000 0.500 1
Cd1 0.500 0.500 0.500 1
Pd1 0.000 0.000 0.000 1
```


We obtain total magnetic moment values of 0.00; 0.00; 0.00; 0.00 μB per formula unit for the records listed above, in that order.